1.
Sc2SeO | GGA-PBE | optimized geometry

Unit cell a=7.484 b=7.484 c=7.484 alpha=26.55 beta=26.55 gamma=26.55
Positions (direct):
Sc 0.115 0.115 0.115
Sc 0.885 0.885 0.885
Se 0.000 0.000 0.000
O 0.500 0.500 0.500

Summary:
Its crystal system is trigonal. For the relative energy among the computed polymorphs, the calculation gives 0.555 eV per atom. The formation energy without anion corrections comes out at -1.528 eV/atom. The calculation puts the total energy at -6.8044 eV per atom.

2.
Be2AlSnOs | GGA-PBE | optimized geometry

Unit cell a=4.307 b=4.307 c=5.222 alpha=90.00 beta=90.00 gamma=90.00
Positions (direct):
Be 0.000 0.500 0.000
Be 0.500 0.000 0.000
Al 0.000 0.000 0.500
Sn 0.500 0.500 0.000
Os 0.500 0.500 0.500

Summary:
Its crystal system is tetragonal. For the formation energy, the calculation gives 7.591 eV/f.u. The calculation puts the total energy at -3.7674 eV per atom.

3.
Nd8Bi5Sb | GGA-PBE | optimized geometry

Unit cell a=8.371 b=8.371 c=8.371 alpha=109.54 beta=109.54 gamma=109.32
Positions (direct):
Nd 0.123 0.230 0.753
Nd 0.125 0.737 0.756
Nd 0.263 0.019 0.388
Nd 0.478 0.371 0.247
Nd 0.629 0.877 0.107
Nd 0.631 0.875 0.612
Nd 0.770 0.522 0.893
Nd 0.981 0.369 0.244
Bi 0.253 0.628 0.128
Bi 0.372 0.500 0.625
Bi 0.500 0.125 0.872
Bi 0.750 0.250 0.500
Bi 0.875 0.747 0.375
Sb 0.000 0.000 0.000

Summary:
Its crystal system is tetragonal. The formation energy without anion corrections comes out at -0.872 eV/atom. The calculation puts the total energy at -5.2766 eV per atom.

4.
LaDy2Ag6 | GGA-PBE | optimized geometry

Unit cell a=8.305 b=8.305 c=3.493 alpha=90.00 beta=90.00 gamma=120.00
Positions (direct):
La 0.000 0.000 0.000
Dy 0.333 0.667 0.000
Dy 0.667 0.333 0.000
Ag 0.000 0.336 0.500
Ag 0.000 0.664 0.500
Ag 0.336 0.000 0.500
Ag 0.336 0.336 0.500
Ag 0.664 0.000 0.500
Ag 0.664 0.664 0.500

Summary:
Its crystal system is hexagonal. For the formation energy, the calculation gives -2.273 eV/f.u. The calculation puts the total energy at -3.7236 eV per atom.

5.
MnWCl3 | GGA-PBE | optimized geometry

Unit cell a=4.962 b=4.962 c=4.962 alpha=90.00 beta=90.00 gamma=90.00
Positions (direct):
Mn 0.000 0.000 0.000
W 0.500 0.500 0.500
Cl 0.000 0.500 0.500
Cl 0.500 0.000 0.500
Cl 0.500 0.500 0.000

Summary:
Its crystal system is cubic. For the relative energy among the computed polymorphs, the calculation gives 0.000 eV per atom. The formation energy without anion corrections comes out at 0.434 eV/atom. The calculation puts the total energy at -5.0985 eV per atom.

6.
Ac2SmRh | GGA-PBE | optimized geometry

Unit cell a=3.785 b=3.785 c=9.199 alpha=90.00 beta=90.00 gamma=90.00
Positions (direct):
Ac 0.000 0.000 0.192
Ac 0.000 0.000 0.808
Sm 0.500 0.500 0.500
Rh 0.500 0.500 0.000

Summary:
Its crystal system is tetragonal. For the relative energy among the computed polymorphs, the calculation gives 0.191 eV per atom. For the formation energy, the calculation gives -0.853 eV/f.u. The calculation puts the total energy at -5.2852 eV per atom.